i:
Below is a geometry-optimized PmAlBi2 structure, with properties calculated at the PBE-GGA level.

Summary:
magnetic moment: 0.0 μB per formula unit
SG: P4/mmm, No. 123

```
PmAlBi2
1.0
4.990 0.000 0.000
0.000 4.990 0.000
0.000 0.000 4.476
Pm Al Bi
1 1 2
Direct
0.000 0.000 0.000 Pm
0.500 0.500 0.000 Al
0.000 0.500 0.500 Bi
0.500 0.000 0.500 Bi
```

=====

ii:
Below is a geometry-optimized PmAlBi2 structure, with properties calculated at the PBE-GGA level.

Summary:
magnetic moment: 0.0 μB per formula unit
SG: R-3m, No. 166

```
PmAlBi2
1.0
5.048 0.000 0.000
-2.524 4.372 0.000
0.000 0.000 24.587
Pm Al Bi
3 3 6
Direct
0.000 0.000 0.000 Pm
0.333 0.667 0.667 Pm
0.667 0.333 0.333 Pm
0.000 0.000 0.500 Al
0.333 0.667 0.167 Al
0.667 0.333 0.833 Al
0.000 0.000 0.394 Bi
0.000 0.000 0.606 Bi
0.333 0.667 0.061 Bi
0.333 0.667 0.273 Bi
0.667 0.333 0.727 Bi
0.667 0.333 0.939 Bi
```

=====

Least stable = ii

=====

i:
Below is a geometry-optimized Pr2AlBi structure, with properties calculated at the PBE-GGA level.

Summary:
magnetic moment: 0.0 μB per formula unit
SG: R-3m, No. 166

```
Pr2AlBi
1.0
4.411 0.000 0.000
-2.206 3.820 0.000
0.000 0.000 23.604
Pr Al Bi
6 3 3
Direct
0.000 0.000 0.250 Pr
0.000 0.000 0.750 Pr
0.333 0.667 0.416 Pr
0.333 0.667 0.917 Pr
0.667 0.333 0.083 Pr
0.667 0.333 0.584 Pr
0.000 0.000 0.500 Al
0.333 0.667 0.167 Al
0.667 0.333 0.833 Al
0.000 0.000 0.000 Bi
0.333 0.667 0.667 Bi
0.667 0.333 0.333 Bi
```

=====

ii:
Below is a geometry-optimized Pr2AlBi structure, with properties calculated at the PBE-GGA level.

Summary:
magnetic moment: 0.0 μB per formula unit
SG: P4/mmm, No. 123

```
Pr2AlBi
1.0
4.106 0.000 0.000
0.000 4.106 0.000
0.000 0.000 6.952
Pr Al Bi
2 1 1
Direct
0.000 0.000 0.248 Pr
0.000 0.000 0.752 Pr
0.500 0.500 0.000 Al
0.500 0.500 0.500 Bi
```

=====

Least stable = i